Below is a geometry-optimized Nd2CuHg structure, with properties calculated at the PBE level.

- Total energy: -3.78 eV/atom
- Formation energy: -0.298 eV/atom

abc: 3.6905 3.6905 7.5567
angles: 90.00 90.00 90.00
Fractional coordinates of all 4 atoms:
Nd 0.0000 0.0000 0.7707
Nd 0.0000 0.0000 0.2293
Hg 0.5000 0.5000 0.5000
Cu 0.5000 0.5000 0.0000